{
  "formula": "MoPbSe2",
  "functional": "meta-GGA SCAN",
  "state": "single point on PBEsol structure",
  "cell": [[4.953, 0.000, 0.000], [0.000, 4.953, 0.000], [0.000, 0.000, 3.343]],
  "species": ["Mo", "Pb", "Se", "Se"],
  "fractional_positions": [[0.000, 0.000, 0.000], [0.500, 0.500, 0.000], [0.000, 0.500, 0.500], [0.500, 0.000, 0.500]],
  "n_ef_per_ev_cell": 1.70,
  "vol_a3_per_cell": 82,
  "raw_formation_energy_kcal_per_mol_atoms": 8.36
}

=====

{
  "formula": "Cu3Au5",
  "functional": "meta-GGA SCAN",
  "state": "single point on PBEsol structure",
  "cell": [[7.385, 0.000, 0.000], [-3.692, 6.395, 0.000], [0.000, 0.000, 5.191]],
  "species": ["Cu", "Cu", "Cu", "Cu", "Cu", "Cu", "Au", "Au", "Au", "Au", "Au", "Au", "Au", "Au", "Au", "Au"],
  "fractional_positions": [[0.000, 0.406, 0.250], [0.000, 0.594, 0.750], [0.406, 0.000, 0.250], [0.406, 0.406, 0.750], [0.594, 0.000, 0.750], [0.594, 0.594, 0.250], [0.000, 0.230, 0.750], [0.000, 0.770, 0.250], [0.230, 0.000, 0.750], [0.230, 0.230, 0.250], [0.333, 0.667, 0.000], [0.333, 0.667, 0.500], [0.667, 0.333, 0.000], [0.667, 0.333, 0.500], [0.770, 0.000, 0.250], [0.770, 0.770, 0.750]],
  "relative_energy_kj_per_mol_fu": 71,
  "n_ef_per_ev_cell": 4.76,
  "vol_a3_per_cell": 245,
  "ef_ev_per_atom": 0.03
}

=====

{
  "formula": "ZrScSi2",
  "functional": "meta-GGA SCAN",
  "state": "single point on PBEsol structure",
  "cell": [[3.701, 0.000, 0.000], [0.000, 1.906, 4.924], [0.000, -1.906, 4.924]],
  "species": ["Zr", "Sc", "Si", "Si"],
  "fractional_positions": [[0.000, 0.000, 0.000], [0.500, 0.283, 0.283], [0.000, 0.721, 0.721], [0.500, 0.559, 0.559]],
  "relative_energy_kj_per_mol_fu": 0,
  "n_ef_per_ev_cell": 1.52,
  "vol_a3_per_cell": 69,
  "raw_formation_energy_kcal_per_mol_atoms": -20.73
}

=====

{
  "formula": "CrTe2Ir",
  "functional": "meta-GGA SCAN",
  "state": "single point on PBEsol structure",
  "cell": [[2.939, -3.816, 0.000], [2.939, 3.816, 0.000], [0.000, 0.000, 3.929]],
  "species": ["Cr", "Te", "Te", "Ir"],
  "fractional_positions": [[0.000, 0.000, 0.000], [0.276, 0.724, 0.500], [0.724, 0.276, 0.500], [0.500, 0.500, 0.000]],
  "n_ef_per_ev_cell": 2.06,
  "vol_a3_per_cell": 88,
  "raw_formation_energy_kcal_per_mol_atoms": 2.79
}

=====

{
  "formula": "CoAsPb2",
  "functional": "meta-GGA SCAN",
  "state": "single point on PBEsol structure",
  "cell": [[-1.980, 2.533, 4.188], [1.980, -2.533, 4.188], [1.980, 2.533, -4.188]],
  "species": ["Co", "As", "Pb", "Pb"],
  "fractional_positions": [[0.000, 0.000, 0.000], [0.500, 0.500, 0.000], [0.222, 0.722, 0.500], [0.778, 0.278, 0.500]],
  "n_ef_per_ev_cell": 2.08,
  "vol_a3_per_cell": 84,
  "ef_ev_per_atom": 0.58
}

=====

{
  "formula": "Co2WCl",
  "functional": "meta-GGA SCAN",
  "state": "single point on PBEsol structure",
  "cell": [[4.411, 0.000, 0.000], [0.000, 4.411, 0.000], [0.000, 0.000, 2.666]],
  "species": ["Co", "Co", "W", "Cl"],
  "fractional_positions": [[0.000, 0.500, 0.000], [0.500, 0.000, 0.000], [0.000, 0.000, 0.500], [0.500, 0.500, 0.500]],
  "relative_energy_kj_per_mol_fu": 208,
  "n_ef_per_ev_cell": 4.12,
  "vol_a3_per_cell": 52,
  "raw_formation_energy_kcal_per_mol_atoms": 24.55
}

=====

{
  "formula": "LaSb2",
  "functional": "meta-GGA SCAN",
  "state": "single point on PBEsol structure",
  "cell": [[3.150, -3.095, 0.000], [3.150, 3.095, 0.000], [0.000, 0.000, 18.135]],
  "species": ["La", "La", "La", "La", "Sb", "Sb", "Sb", "Sb", "Sb", "Sb", "Sb", "Sb"],
  "fractional_positions": [[0.134, 0.866, 0.891], [0.366, 0.634, 0.391], [0.634, 0.366, 0.609], [0.866, 0.134, 0.109], [0.120, 0.380, 0.750], [0.131, 0.869, 0.564], [0.369, 0.631, 0.064], [0.380, 0.120, 0.250], [0.620, 0.880, 0.750], [0.631, 0.369, 0.936], [0.869, 0.131, 0.436], [0.880, 0.620, 0.250]],
  "n_ef_per_ev_cell": 4.96,
  "vol_a3_per_cell": 354,
  "raw_formation_energy_kcal_per_mol_atoms": -22.64
}

=====

{
  "formula": "BeAg2Rh",
  "functional": "meta-GGA SCAN",
  "state": "single point on PBEsol structure",
  "cell": [[2.767, 0.000, 0.000], [0.000, 4.054, 0.000], [-1.265, 0.000, 4.948]],
  "species": ["Be", "Ag", "Ag", "Rh"],
  "fractional_positions": [[0.000, 0.000, 0.000], [0.384, 0.500, 0.234], [0.616, 0.500, 0.766], [0.000, 0.000, 0.500]],
  "n_ef_per_ev_cell": 2.74,
  "vol_a3_per_cell": 56,
  "ef_ev_per_atom": 0.19
}

=====

{
  "formula": "Ni4Rh",
  "functional": "meta-GGA SCAN",
  "state": "single point on PBEsol structure",
  "cell": [[-1.266, 1.266, 8.678], [1.266, -1.266, 8.678], [1.266, 1.266, -8.678]],
  "species": ["Ni", "Ni", "Ni", "Ni", "Rh"],
  "fractional_positions": [[0.106, 0.106, 0.000], [0.298, 0.298, 0.000], [0.702, 0.702, 0.000], [0.894, 0.894, 0.000], [0.500, 0.500, 0.000]],
  "relative_energy_kj_per_mol_fu": 16,
  "n_ef_per_ev_cell": 5.03,
  "vol_a3_per_cell": 56,
  "ef_ev_per_atom": 0.03
}

=====

{
  "formula": "InW2Br",
  "functional": "meta-GGA SCAN",
  "state": "single point on PBEsol structure",
  "cell": [[3.153, 0.000, 0.000], [0.000, 3.153, 0.000], [0.000, 0.000, 8.038]],
  "species": ["In", "W", "W", "Br"],
  "fractional_positions": [[0.000, 0.000, 0.000], [0.000, 0.000, 0.408], [0.500, 0.500, 0.232], [0.500, 0.500, 0.645]],
  "relative_energy_kj_per_mol_fu": 0,
  "n_ef_per_ev_cell": 1.24,
  "vol_a3_per_cell": 80,
  "raw_formation_energy_kcal_per_mol_atoms": 11.94
}

=====

{
  "formula": "Cr2CoRu",
  "functional": "meta-GGA SCAN",
  "state": "single point on PBEsol structure",
  "cell": [[-1.793, 1.793, 3.557], [1.793, -1.793, 3.557], [1.793, 1.793, -3.557]],
  "species": ["Cr", "Cr", "Co", "Ru"],
  "fractional_positions": [[0.250, 0.750, 0.500], [0.750, 0.250, 0.500], [0.000, 0.000, 0.000], [0.500, 0.500, 0.000]],
  "n_ef_per_ev_cell": 3.98,
  "vol_a3_per_cell": 46,
  "ef_ev_per_atom": 0.15
}

=====

{
  "formula": "BeSiPt",
  "functional": "meta-GGA SCAN",
  "state": "single point on PBEsol structure",
  "cell": [[0.000, 2.771, 2.771], [2.771, 0.000, 2.771], [2.771, 2.771, 0.000]],
  "species": ["Be", "Si", "Pt"],
  "fractional_positions": [[0.000, 0.000, 0.000], [0.500, 0.500, 0.500], [0.250, 0.250, 0.250]],
  "relative_energy_kj_per_mol_fu": 0,
  "n_ef_per_ev_cell": 1.19,
  "vol_a3_per_cell": 43,
  "raw_formation_energy_kcal_per_mol_atoms": -15.75
}

=====

Number 1: magnetic moment 3.11 μB per cell. Number 2: magnetic moment 0.00 μB per cell. Number 3: magnetic moment 0.00 μB per cell. Number 4: magnetic moment 4.64 μB per cell. Number 5: magnetic moment 1.77 μB per cell. Number 6: magnetic moment 3.08 μB per cell. Number 7: magnetic moment 0.00 μB per cell. Number 8: magnetic moment 0.00 μB per cell. Number 9: magnetic moment 4.02 μB per cell. Number 10: magnetic moment 0.00 μB per cell. Number 11: magnetic moment 0.54 μB per cell. Number 12: magnetic moment 0.00 μB per cell.